Record 1
Computed, not measured: crystalline TiCuSe3 at its relaxed geometry at the PBE level of DFT.

Unit cell a=3.5786 b=7.0192 c=7.0192 alpha=121.09 beta=90.00 gamma=90.00
Last column: nearest neighbours and their distance in Å.
Element x y z (fractional)
1 Ti 0.0000 0.4114 0.5886  5 Se 2.41-2.51
2 Cu 0.5000 0.0899 0.9101  4 Se 2.35-2.41
3 Se 0.5000 0.6991 0.7863  1 Cu 2.41, 2 Ti 2.51
4 Se 0.0000 0.2140 0.7860  2 Cu 2.35, 1 Ti 2.41
5 Se 0.5000 0.2137 0.3009  1 Cu 2.41, 2 Ti 2.51

Energy relative to the elements, uncorrected ... -0.534 eV per atom
Space-group type ... Amm2

Record 2
Computed, not measured: crystalline Ti5In2P2 at its relaxed geometry at the PBE level of DFT.

Unit cell a=6.7447 b=6.6067 c=7.7430 alpha=90.00 beta=64.18 gamma=90.00
Last column: nearest neighbours and their distance in Å.
Element x y z (fractional)
1 Ti 0.0000 0.0000 0.0000  4 P 2.58-2.63
2 Ti 0.5000 0.5000 0.0000  4 P 2.58-2.63
3 Ti 0.4428 0.1670 0.7826  3 P 2.42-2.53
4 Ti 0.7747 0.8330 0.7826  3 P 2.42-2.53
5 Ti 0.2747 0.6670 0.7826  3 P 2.42-2.53
6 Ti 0.9428 0.3330 0.7826  3 P 2.42-2.53
7 Ti 0.5572 0.8330 0.2174  3 P 2.42-2.53
8 Ti 0.2253 0.1670 0.2174  3 P 2.42-2.53
9 Ti 0.7253 0.3330 0.2174  3 P 2.42-2.53
10 Ti 0.0572 0.6670 0.2174  3 P 2.42-2.53
11 In 0.2207 0.0000 0.5585  7 Ti 2.85-3.08
12 In 0.7207 0.5000 0.5585  7 Ti 2.85-3.08
13 In 0.7793 0.0000 0.4415  7 Ti 2.85-3.08
14 In 0.2793 0.5000 0.4415  7 Ti 2.85-3.08
15 P 0.1328 0.3664 0.0000  8 Ti 2.42-2.63, 1 P 2.51
16 P 0.8672 0.6336 0.0000  8 Ti 2.42-2.63, 1 P 2.51
17 P 0.3672 0.8664 0.0000  8 Ti 2.42-2.63, 1 P 2.51
18 P 0.6328 0.1336 0.0000  8 Ti 2.42-2.63, 1 P 2.51

Formation energy from the elements ... -0.659 eV/atom
Space-group type ... Cmce

Record 3
Computed, not measured: crystalline LiP2Pb at its relaxed geometry at the PBE level of DFT.

Unit cell a=4.7767 b=4.7767 c=4.7767 alpha=60.00 beta=60.00 gamma=60.00
Last column: nearest neighbours and their distance in Å.
Element x y z (fractional)
1 Li 0.2500 0.2500 0.2500  4 Pb 2.93, 4 P 2.93
2 P 0.5000 0.5000 0.5000  4 Li 2.93, 4 P 2.93
3 P 0.7500 0.7500 0.7500  4 P 2.93, 4 Pb 2.93
4 Pb 0.0000 0.0000 0.0000  4 P 2.93, 4 Li 2.93

Formation energy from the elements ... 0.307 eV/atom
Space-group type ... F-43m

Record 4
Computed, not measured: crystalline Pu6Te at its relaxed geometry at the PBE level of DFT.

Unit cell a=5.8223 b=5.8223 c=5.8223 alpha=109.47 beta=109.47 gamma=109.47
Last column: nearest neighbours and their distance in Å.
Element x y z (fractional)
1 Pu 0.2500 0.7500 0.5000  4 Pu 2.38
2 Pu 0.5000 0.7500 0.2500  4 Pu 2.38
3 Pu 0.2500 0.5000 0.7500  4 Pu 2.38
4 Pu 0.7500 0.2500 0.5000  4 Pu 2.38
5 Pu 0.5000 0.2500 0.7500  4 Pu 2.38
6 Pu 0.7500 0.5000 0.2500  4 Pu 2.38
7 Te 0.0000 0.0000 0.0000  24 Pu 3.76

Energy relative to the elements, uncorrected ... 0.384 eV per atom
Space-group type ... Im-3m

Record 5
Computed, not measured: crystalline CaLa4Er3Se8 at its relaxed geometry at the PBE level of DFT.

Unit cell a=8.3200 b=8.4570 c=8.3194 alpha=119.47 beta=120.00 gamma=90.00
Last column: nearest neighbours and their distance in Å.
Element x y z (fractional)
1 Ca 0.0000 0.5000 0.0000  6 Se 2.90
2 La 0.5000 0.0000 0.0000  6 Se 3.03-3.04
3 La 0.5000 0.0000 0.5000  6 Se 3.06
4 La 0.0000 0.0000 0.0000  6 Se 3.06
5 La 0.0000 0.0000 0.5000  6 Se 3.06
6 Er 0.5000 0.5000 0.0000  6 Se 2.87-2.88
7 Er 0.5000 0.5000 0.5000  6 Se 2.87-2.88
8 Er 0.0000 0.5000 0.5000  6 Se 2.87-2.88
9 Se 0.2447 0.7291 0.9843  2 Er 2.87, 1 Ca 2.90, 3 La 3.03-3.06
10 Se 0.2446 0.7291 0.4892  2 Er 2.87, 1 Ca 2.90, 3 La 3.04-3.06
11 Se 0.2575 0.2727 0.5150  3 Er 2.88, 3 La 3.06
12 Se 0.7397 0.7291 0.9843  2 Er 2.87, 1 Ca 2.90, 3 La 3.03-3.06
13 Se 0.2603 0.2709 0.0157  2 Er 2.87, 1 Ca 2.90, 3 La 3.03-3.06
14 Se 0.7425 0.7273 0.4850  3 Er 2.88, 3 La 3.06
15 Se 0.7554 0.2709 0.5108  2 Er 2.87, 1 Ca 2.90, 3 La 3.04-3.06
16 Se 0.7553 0.2709 0.0157  2 Er 2.87, 1 Ca 2.90, 3 La 3.03-3.06

Energy relative to the elements, uncorrected ... -1.881 eV per atom
Space-group type ... R-3m

Record 6
Computed, not measured: crystalline KNa3Ir at its relaxed geometry at the PBE level of DFT.

Unit cell a=5.5819 b=5.5819 c=5.5819 alpha=90.00 beta=90.00 gamma=90.00
Last column: nearest neighbours and their distance in Å.
Element x y z (fractional)
1 Na 0.0000 0.5000 0.0000  2 Ir 2.79
2 Na 0.0000 0.0000 0.5000  2 Ir 2.79
3 Na 0.5000 0.0000 0.0000  2 Ir 2.79
4 K 0.5000 0.5000 0.5000  12 Na 3.95
5 Ir 0.0000 0.0000 0.0000  6 Na 2.79

Formation energy from the elements ... 0.516 eV/atom
Space-group type ... Pm-3m

Record 7
Computed, not measured: crystalline TbErHgC at its relaxed geometry at the PBE level of DFT.

Unit cell a=3.5896 b=3.5888 c=8.1259 alpha=90.00 beta=102.79 gamma=119.99
Last column: nearest neighbours and their distance in Å.
Element x y z (fractional)
1 Tb 0.5223 0.1591 0.6971  3 C 2.48
2 Er 0.0849 0.9404 0.0410  3 C 2.47
3 Hg 0.9665 0.3812 0.3618  3 Er 3.26, 3 Tb 3.35, 6 Hg 3.59
4 C 0.3042 0.5501 0.8697  3 Er 2.47, 3 Tb 2.48

Formation energy from the elements ... -0.385 eV/atom
Space-group type ... R3m

Record 8
Computed, not measured: crystalline VCl at its relaxed geometry at the PBE level of DFT.

Unit cell a=5.4612 b=5.4612 c=5.4612 alpha=90.00 beta=90.00 gamma=90.00
Last column: nearest neighbours and their distance in Å.
Element x y z (fractional)
1 V 0.0000 0.0000 0.0000  4 Cl 2.36
2 V 0.0000 0.5000 0.5000  4 Cl 2.36
3 V 0.5000 0.0000 0.5000  4 Cl 2.36
4 V 0.5000 0.5000 0.0000  4 Cl 2.36
5 Cl 0.2500 0.2500 0.2500  4 V 2.36
6 Cl 0.2500 0.7500 0.7500  4 V 2.36
7 Cl 0.7500 0.2500 0.7500  4 V 2.36
8 Cl 0.7500 0.7500 0.2500  4 V 2.36

Energy relative to the elements, uncorrected ... 0.187 eV per atom
Space-group type ... F-43m

Record 9
Computed, not measured: crystalline BaLi2ZnAu at its relaxed geometry at the PBE level of DFT.

Unit cell a=5.0978 b=5.0978 c=5.0292 alpha=90.00 beta=90.00 gamma=90.00
Last column: nearest neighbours and their distance in Å.
Element x y z (fractional)
1 Zn 0.0000 0.0000 0.5000  2 Au 2.51
2 Au 0.0000 0.0000 0.0000  2 Zn 2.51, 4 Li 2.55
3 Ba 0.5000 0.5000 0.5000  8 Li 3.58, 4 Zn 3.60
4 Li 0.0000 0.5000 0.0000  2 Au 2.55
5 Li 0.5000 0.0000 0.0000  2 Au 2.55

Formation energy from the elements ... -0.256 eV/atom
Space-group type ... P4/mmm

Record 10
Computed, not measured: crystalline BeCd2Si at its relaxed geometry at the PBE level of DFT.

Unit cell a=4.6925 b=4.6925 c=4.6925 alpha=60.00 beta=60.00 gamma=60.00
Last column: nearest neighbours and their distance in Å.
Element x y z (fractional)
1 Be 0.0000 0.0000 0.0000  8 Cd 2.87
2 Si 0.5000 0.5000 0.5000  8 Cd 2.87
3 Cd 0.2500 0.2500 0.2500  4 Be 2.87, 4 Si 2.87
4 Cd 0.7500 0.7500 0.7500  4 Be 2.87, 4 Si 2.87

Energy relative to the elements, uncorrected ... 0.631 eV per atom
Space-group type ... Fm-3m

Record 11
Computed, not measured: crystalline NdThCoOs at its relaxed geometry at the PBE level of DFT.

Unit cell a=4.9730 b=4.9730 c=4.9730 alpha=60.00 beta=60.00 gamma=60.00
Last column: nearest neighbours and their distance in Å.
Element x y z (fractional)
1 Nd 0.5000 0.5000 0.5000  4 Co 3.05, 4 Os 3.05
2 Os 0.2500 0.2500 0.2500  4 Th 3.05, 4 Nd 3.05
3 Th 0.0000 0.0000 0.0000  4 Os 3.05, 4 Co 3.05
4 Co 0.7500 0.7500 0.7500  4 Th 3.05, 4 Nd 3.05

Formation energy from the elements ... -0.057 eV/atom
Space-group type ... F-43m

Record 12
Computed, not measured: crystalline Lu3Ga at its relaxed geometry at the PBE level of DFT.

Unit cell a=3.6054 b=5.1386 c=6.3351 alpha=113.93 beta=106.53 gamma=90.00
Last column: nearest neighbours and their distance in Å.
Element x y z (fractional)
1 Lu 0.2855 0.7019 0.5710  2 Ga 2.97, 4 Lu 3.23
2 Lu 0.5000 0.4168 0.0000  4 Ga 3.14, 4 Lu 3.49
3 Lu 0.7145 0.1309 0.4290  2 Ga 2.97, 4 Lu 3.23
4 Ga 0.0000 0.9170 0.0000  8 Lu 2.97-3.14

Formation energy from the elements ... -0.295 eV/atom
Space-group type ... Immm

Repeat the sixth record exactly.
Computed, not measured: crystalline KNa3Ir at its relaxed geometry at the PBE level of DFT.

Unit cell a=5.5819 b=5.5819 c=5.5819 alpha=90.00 beta=90.00 gamma=90.00
Last column: nearest neighbours and their distance in Å.
Element x y z (fractional)
1 Na 0.0000 0.5000 0.0000  2 Ir 2.79
2 Na 0.0000 0.0000 0.5000  2 Ir 2.79
3 Na 0.5000 0.0000 0.0000  2 Ir 2.79
4 K 0.5000 0.5000 0.5000  12 Na 3.95
5 Ir 0.0000 0.0000 0.0000  6 Na 2.79

Formation energy from the elements ... 0.516 eV/atom
Space-group type ... Pm-3m